DFT (PBE+U) results for a relaxed Na3CoO4 crystal.

Values from the calculation:
Its symmetry is Pnma, No. 62. For the final energy, the calculation gives -4.762 eV/atom.

extended XYZ file:
```
32
Lattice="6.883 0.000 0.000 0.000 7.624 0.000 0.000 0.000 8.164" Properties=species:S:1:pos:R:3 pbc="T T T"
Na 2.083 4.072 6.123
Na 3.771 1.898 4.296
Na 3.771 1.898 7.950
Na 6.553 5.710 3.868
Na 3.111 5.726 3.868
Na 6.553 5.710 0.214
Na 0.330 1.914 4.296
Na 1.359 0.260 2.041
Na 3.111 5.726 0.214
Na 0.330 1.914 7.950
Na 4.800 3.552 2.041
Na 5.524 7.364 6.123
O 5.501 0.233 0.455
O 5.501 0.233 3.627
O 2.312 1.719 6.123
O 4.823 4.045 7.709
O 4.823 4.045 4.537
O 1.381 7.391 7.709
O 0.117 2.604 2.041
O 5.753 2.093 6.123
O 1.129 5.531 2.041
O 2.060 3.579 3.627
O 4.571 5.905 2.041
O 1.381 7.391 4.537
O 3.324 6.416 6.123
O 2.060 3.579 0.455
O 6.765 5.020 6.123
O 3.558 1.208 2.041
Co 1.387 3.801 2.041
Co 5.495 3.823 6.123
Co 2.054 7.613 6.123
Co 4.829 0.011 2.041
```